Ni2OsO2: optimized geometry, PBE with a Hubbard U.

The energy relative to the lowest polymorph listed for this composition comes out at 0.0 meV/atom. The uncorrected energy is -5.241 eV per atom.

The structure belongs to space group P4/mbm (No. 127); the cell edges are 5.437, 5.437 and 3.952 Å and the angles 90.00°, 90.00° and 90.00°. The inequivalent atoms are Ni at (0.184, 0.316, 0.000), Os at (0.000, 0.000, 0.500) and O at (0.184, 0.316, 0.500).